(1)
The following is a DFT calculation (PBE) of a geometry-optimized MnIr3Pd structure.

* crystal system: cubic
* energy above the most stable polymorph in this dataset: 0 meV/atom

a b c (Å): 4.432 4.432 4.432
angles (deg): 90.00 90.00 90.00
Space group Pm-3m (No. 221)
Asymmetric unit:
Mn  0.000  0.000  0.000
Ir  0.000  0.000  0.500
Pd  0.500  0.500  0.500

---

(2)
The following is a DFT calculation (PBE) of a geometry-optimized MnIr3Pd structure.

* crystal system: cubic
* energy above the most stable polymorph in this dataset: 1282 meV/atom

a b c (Å): 4.693 4.693 4.693
angles (deg): 90.00 90.00 90.00
Space group Pm-3m (No. 221)
Asymmetric unit:
Mn  0.000  0.000  0.000
Ir  0.000  0.500  0.500
Pd  0.500  0.500  0.500

---

| no. | energy of formation from the pure elements (kJ/mol of formula units) |
| --- | --- |
| 1 | 640 |
| 2 | 1259 |